Material: V2CoP2O10
Method: DFT, PBE with a Hubbard U
State: optimized geometry

Output
- ΔE to the lowest computed polymorph: 0.54 kJ per mole of atoms
- D(E_F): 0.0 states/eV per cell
- Symmetry: P2_1/c, No. 14
- Volume: 352.1 Å³ per cell

Unit cell a=7.370 b=7.448 c=7.372 alpha=90.00 beta=119.54 gamma=90.00
Fractional positions:
V (0.240, 0.226, 0.034)
V (0.240, 0.274, 0.534)
V (0.760, 0.726, 0.466)
V (0.760, 0.774, 0.966)
Co (0.500, 0.000, 0.500)
Co (0.500, 0.500, 0.000)
P (0.248, 0.622, 0.251)
P (0.248, 0.878, 0.751)
P (0.752, 0.122, 0.249)
P (0.752, 0.378, 0.749)
O (0.058, 0.745, 0.136)
O (0.058, 0.755, 0.636)
O (0.231, 0.507, 0.414)
O (0.231, 0.993, 0.914)
O (0.268, 0.165, 0.272)
O (0.268, 0.335, 0.772)
O (0.279, 0.003, 0.597)
O (0.279, 0.497, 0.097)
O (0.442, 0.749, 0.355)
O (0.442, 0.751, 0.855)
O (0.558, 0.249, 0.145)
O (0.558, 0.251, 0.645)
O (0.721, 0.503, 0.903)
O (0.721, 0.997, 0.403)
O (0.732, 0.665, 0.228)
O (0.732, 0.835, 0.728)
O (0.769, 0.007, 0.086)
O (0.769, 0.493, 0.586)
O (0.942, 0.245, 0.364)
O (0.942, 0.255, 0.864)